{"formula": "CoAg2Ir", "functional": "PBE", "state": "relaxed", "dos_ef_per_ev_cell": 4.56, "formation_enthalpy_0k_ev_per_atom": 0.52, "crystal_system": "orthorhombic", "total_magnetization_mub_per_cell": 2.66, "cell": [[2.705, 0.000, 0.000], [0.000, 4.256, 0.000], [0.000, 0.000, 5.365]], "species": ["Ag", "Ag", "Co", "Ir"], "frac_coords": [[0.000, 0.000, 0.003], [0.000, 0.000, 0.497], [0.500, 0.500, 0.250], [0.500, 0.500, 0.750]]}

{"formula": "CoAg2Ir", "functional": "PBE", "state": "relaxed", "dos_ef_per_ev_cell": 4.63, "formation_enthalpy_0k_ev_per_atom": 0.50, "crystal_system": "orthorhombic", "total_magnetization_mub_per_cell": 2.40, "cell": [[4.996, 0.011, 0.000], [-2.137, 4.516, 0.000], [0.000, 0.000, 2.729]], "species": ["Ag", "Ag", "Co", "Ir"], "frac_coords": [[0.000, 0.000, 0.000], [0.500, 0.500, 0.000], [0.500, 0.000, 0.500], [0.000, 0.500, 0.500]]}

{"formula": "CoAgIr2", "functional": "PBE", "state": "relaxed", "dos_ef_per_ev_cell": 5.69, "formation_enthalpy_0k_ev_per_atom": 0.46, "crystal_system": "orthorhombic", "total_magnetization_mub_per_cell": 2.04, "cell": [[5.357, 0.004, 0.002], [2.653, 4.654, -0.002], [-3.367, -3.427, 2.371]], "species": ["Ag", "Co", "Ir", "Ir"], "frac_coords": [[0.508, 0.508, 0.000], [0.766, 0.266, 0.500], [0.992, 0.992, 0.000], [0.234, 0.734, 0.500]]}

{"formula": "Co4AgIr", "functional": "PBE", "state": "relaxed", "dos_ef_per_ev_cell": 6.30, "formation_enthalpy_0k_ev_per_atom": 0.23, "crystal_system": "cubic", "total_magnetization_mub_per_cell": 7.80, "cell": [[0.704, -1.565, 4.441], [-1.175, 2.747, 3.706], [-3.722, -1.156, 2.735]], "species": ["Co", "Co", "Co", "Co", "Ag", "Ir"], "frac_coords": [[0.625, 0.625, 0.125], [0.625, 0.125, 0.625], [0.625, 0.625, 0.625], [0.125, 0.625, 0.625], [0.000, 0.000, 0.000], [0.250, 0.250, 0.250]]}

{"formula": "CoAg2Ir", "functional": "PBE", "state": "relaxed", "dos_ef_per_ev_cell": 4.04, "formation_enthalpy_0k_ev_per_atom": 0.23, "crystal_system": "tetragonal", "total_magnetization_mub_per_cell": 2.13, "cell": [[-2.638, -0.176, -0.900], [0.746, -2.005, -1.795], [-1.504, -5.460, 5.473]], "species": ["Ag", "Ag", "Co", "Ir"], "frac_coords": [[0.000, 0.000, 0.990], [0.500, 0.500, 0.271], [0.000, 0.000, 0.522], [0.500, 0.500, 0.716]]}

{"formula": "CoAgIr2", "functional": "PBE", "state": "relaxed", "dos_ef_per_ev_cell": 5.71, "formation_enthalpy_0k_ev_per_atom": 0.40, "crystal_system": "orthorhombic", "total_magnetization_mub_per_cell": 1.81, "cell": [[-2.508, 1.034, 0.010], [0.654, -1.916, -1.806], [-2.687, -6.581, 6.011]], "species": ["Ag", "Co", "Ir", "Ir"], "frac_coords": [[0.000, 0.000, 0.510], [0.500, 0.500, 0.762], [0.000, 0.000, 0.990], [0.500, 0.500, 0.238]]}